No. 1
Compound: Cs3Tm3USe8
Source: the Alexandria database
Functional: PBE-GGA
Structure: optimized geometry

Cell and atoms, written as POSCAR:
```
Cs3Tm3USe8
1.0
8.3428 0.0000 0.0000
-4.1714 7.2242 -0.0306
0.0000 -4.7839 8.5376
Cs Tm U Se
3 3 1 8
Cartesian
0.0000 0.0000 0.0000
-2.0857 3.6121 -0.0153
2.0857 3.6121 -0.0153
4.1714 -2.3919 4.2688
2.0857 1.2201 4.2535
-2.0857 1.2201 4.2535
0.0000 -2.3919 4.2688
0.0000 2.4179 2.7015
4.1714 0.0224 5.8055
4.1714 2.4163 2.7044
0.0000 0.0240 5.8025
6.2568 -1.1945 2.7197
-2.0854 3.6348 5.7873
2.0860 -1.1945 2.7197
2.0854 3.6348 5.7873
```

Properties
Space-group type: R-3m
Uncorrected formation energy: -1.6195 eV per atom

No. 2
Compound: Cs2TmUSe4
Source: the Alexandria database
Functional: PBE-GGA
Structure: optimized geometry

Cell and atoms, written as POSCAR:
```
Cs2TmUSe4
1.0
4.2520 0.0000 0.0000
0.0000 7.3762 0.1330
0.0000 -2.6021 8.3507
Cs Tm U Se
2 1 1 4
Cartesian
2.1260 -1.3011 4.1753
0.0000 2.3870 4.2419
2.1260 3.6881 0.0665
0.0000 0.0000 0.0000
2.1260 1.2403 1.5878
2.1260 3.5338 6.8959
0.0000 -0.0788 6.8473
0.0000 4.8529 1.6365
```

Properties
Space-group type: P2/m
Uncorrected formation energy: -1.4356 eV per atom

No. 3
Compound: Cs3TmU2Se6
Source: the Alexandria database
Functional: PBE-GGA
Structure: optimized geometry

Cell and atoms, written as POSCAR:
```
Cs3TmU2Se6
1.0
7.3745 -0.0007 -0.0001
-3.6861 6.3872 -0.0001
-1.2301 -2.1299 8.4159
Cs Tm U Se
3 1 2 6
Cartesian
-2.4524 4.2546 4.2079
4.9107 0.0021 4.2079
1.2292 2.1283 4.2079
0.0000 0.0000 0.0000
0.0011 4.2577 -0.0001
3.6873 2.1288 -0.0001
3.6696 2.1581 6.8495
2.4763 4.2876 1.5680
-1.2113 2.0985 1.5663
0.0354 4.2570 6.8495
-0.0179 -0.0310 6.8477
2.4230 -0.0004 1.5663
```

Properties
Space-group type: C2/m
Uncorrected formation energy: -1.3565 eV per atom

No. 4
Compound: CsTmUSe4
Source: the Alexandria database
Functional: PBE-GGA
Structure: optimized geometry

Cell and atoms, written as POSCAR:
```
CsTmUSe4
1.0
-8.9337 -1.4700 -0.4899
4.5078 -1.9006 7.4062
-1.2660 8.5089 -2.4457
Cs Tm U Se
2 2 2 8
Cartesian
-4.5999 -1.6329 4.8762
-1.0919 6.7711 -0.4057
-5.0999 3.5194 -1.4678
-4.4668 -0.7350 -0.2450
-2.8459 2.5691 2.2353
1.6209 3.3041 2.4803
-5.3090 3.8356 1.3981
-3.0325 1.7555 -0.4990
-6.5860 1.1707 -0.6938
-4.8044 0.4437 2.3730
-0.8875 4.6945 2.0975
-2.6594 3.3828 4.9695
0.8941 3.9675 5.1644
-0.3828 1.3026 3.0725
```

Properties
Space-group type: Imma
Uncorrected formation energy: -1.3455 eV per atom

No. 5
Compound: Cs2YTmSe4
Source: the Alexandria database
Functional: PBE-GGA
Structure: optimized geometry

Cell and atoms, written as POSCAR:
```
Cs2YTmSe4
1.0
4.2444 0.0000 0.0000
0.0000 7.3508 0.1239
0.0000 -2.5875 8.3224
Cs Y Tm Se
2 1 1 4
Cartesian
2.1222 -1.2937 4.1612
0.0000 2.3817 4.2231
2.1222 3.6754 0.0619
0.0000 0.0000 0.0000
2.1222 1.1765 1.5585
2.1222 3.5869 6.8878
0.0000 -0.1340 6.8148
0.0000 4.8974 1.6315
```

Properties
Space-group type: P2/m
Uncorrected formation energy: -1.7232 eV per atom

No. 6
Compound: Cs4Tm3ZrSe8
Source: the Alexandria database
Functional: PBE-GGA
Structure: optimized geometry

Cell and atoms, written as POSCAR:
```
Cs4Tm3ZrSe8
1.0
8.3245 0.0000 0.0000
0.0000 9.6072 0.8937
-4.1622 -4.1611 5.8908
Cs Tm Zr Se
4 3 1 8
Cartesian
4.1622 0.0000 0.0000
2.0811 -2.0806 2.9454
0.0000 0.0000 0.0000
-2.0811 -2.0806 2.9454
4.1622 4.8036 0.4469
2.0811 2.7230 3.3923
-2.0811 2.7230 3.3923
0.0000 4.8036 0.4469
-2.1300 2.5685 6.2622
0.0000 4.6993 3.2437
0.0000 0.7707 3.4827
2.1300 2.5685 6.2622
2.0322 2.8776 0.5223
4.1622 4.6754 3.3019
4.1622 0.7467 3.5408
6.2922 2.8776 0.5223
```

Properties
Space-group type: R-3m
Uncorrected formation energy: -1.5876 eV per atom

Q: uncorrected formation energy of number 6 (Cs4Tm3ZrSe8)?
A: -1.5876 eV per atom

Q: Which of these has the lowest uncorrected formation energy?
A: Cs2YTmSe4